The following is a DFT calculation (PBE) of an optimized crystal structure of Dy2GaCu2Ni5.

It has space group P4/mbm (No. 127), with a = 8.964 Å, b = 8.964 Å, c = 3.638 Å, α = 90.00°, β = 90.00° and γ = 90.00°. The distinct sites, in fractional coordinates, are Dy at (0.178, 0.322, 0.000), Ga at (0.000, 0.000, 0.000), Cu at (0.119, 0.619, 0.000), Ni at (0.000, 0.500, 0.500) and Ni at (0.060, 0.797, 0.500).

The uncorrected energy comes out at -104.92 eV for the cell shown. The formation energy comes out at -0.31 eV/atom.